[1]
# TbYBeCu | Alexandria via LeMat-Bulk | PBE | relaxed
# **Formation enthalpy at 0 K**: -0.06 eV/atom
data_TbYBeCu
_symmetry_space_group_name_H-M 'F -4 3 m'
_symmetry_Int_Tables_number 216
_symmetry_space_group_name_Hall 'F -4 2 3'
_cell_length_a 6.9189
_cell_length_b 6.9189
_cell_length_c 6.9189
_cell_angle_alpha 90.00
_cell_angle_beta 90.00
_cell_angle_gamma 90.00
loop_
_atom_site_label
_atom_site_type_symbol
_atom_site_fract_x
_atom_site_fract_y
_atom_site_fract_z
_atom_site_occupancy
Tb1 Tb 0.0000 0.0000 0.0000 1
Y1 Y 0.0000 0.0000 0.5000 1
Be1 Be 0.2500 0.2500 0.7500 1
Cu1 Cu 0.2500 0.2500 0.2500 1

---

[2]
# Tb2Be3ZnCu12 | Alexandria via LeMat-Bulk | PBE | relaxed
# **Formation enthalpy at 0 K**: 0.30 eV/atom
data_Tb2Be3ZnCu12
_symmetry_space_group_name_H-M 'R -3 m'
_symmetry_Int_Tables_number 166
_symmetry_space_group_name_Hall '-R 3 2"'
_cell_length_a 7.5090
_cell_length_b 7.5090
_cell_length_c 17.4847
_cell_angle_alpha 90.00
_cell_angle_beta 90.00
_cell_angle_gamma 120.00
loop_
_atom_site_label
_atom_site_type_symbol
_atom_site_fract_x
_atom_site_fract_y
_atom_site_fract_z
_atom_site_occupancy
Tb1 Tb 0.0000 0.0000 0.1034 1
Be1 Be 0.0000 0.5000 0.0000 1
Zn1 Zn 0.0000 0.0000 0.5000 1
Cu1 Cu 0.0133 0.5066 0.8783 1
Cu2 Cu 0.0403 0.5202 0.3589 1

---

Copy entry 2 word for word.
# Tb2Be3ZnCu12 | Alexandria via LeMat-Bulk | PBE | relaxed
# **Formation enthalpy at 0 K**: 0.30 eV/atom
data_Tb2Be3ZnCu12
_symmetry_space_group_name_H-M 'R -3 m'
_symmetry_Int_Tables_number 166
_symmetry_space_group_name_Hall '-R 3 2"'
_cell_length_a 7.5090
_cell_length_b 7.5090
_cell_length_c 17.4847
_cell_angle_alpha 90.00
_cell_angle_beta 90.00
_cell_angle_gamma 120.00
loop_
_atom_site_label
_atom_site_type_symbol
_atom_site_fract_x
_atom_site_fract_y
_atom_site_fract_z
_atom_site_occupancy
Tb1 Tb 0.0000 0.0000 0.1034 1
Be1 Be 0.0000 0.5000 0.0000 1
Zn1 Zn 0.0000 0.0000 0.5000 1
Cu1 Cu 0.0133 0.5066 0.8783 1
Cu2 Cu 0.0403 0.5202 0.3589 1